NdEuLuHg | PBE-GGA | optimized geometry

Unit cell a=7.843 b=7.843 c=7.843 alpha=90.00 beta=90.00 gamma=90.00
Space group F-43m (No. 216)
Symmetry-distinct sites (fractional):
1 Nd 0.000 0.000 0.000 x4
2 Eu 0.000 0.000 0.500 x4
3 Lu 0.250 0.250 0.750 x4
4 Hg 0.250 0.250 0.250 x4

## Properties
raw total energy	-5.03	eV per atom
energy of formation from the pure elements	-62.0	meV/atom
magnetic moment	28.8	μB per cell